CeZnAgRh: optimized geometry, PBE.

POSCAR file:
```
CeZnAgRh
1.0
-0.167 -4.561 -1.437
1.630 -3.472 2.862
-3.067 -3.045 2.054
Zn Rh Ag Ce
1 1 1 1
Direct
0.250 0.250 0.250
0.000 0.000 0.000
0.500 0.500 0.500
0.750 0.750 0.750
```

Values from the calculation:
The calculation puts the energy at -4.6210 eV per atom. For the total moment, the calculation gives 0.35 μB/cell. The formation energy is -25.9 kJ per mole of atoms.